[1]
First-principles (PBE-GGA) data for Tb5Er2Sc4 after structural relaxation, as listed in the Alexandria database.

As for the crystal system: monoclinic. The value obtained for the total magnetization is 0.005 μB/f.u. For the total energy, the calculation gives -5.135 eV per atom. Its formation energy from the elements is 0.10 eV per atom. For the energy above the most stable polymorph in this dataset, the calculation gives 0.0000 eV/atom.

It has space group P2/m (No. 10), with a = 8.696 Å, b = 3.501 Å, c = 10.750 Å, α = 90.00°, β = 94.47° and γ = 90.00°. The asymmetric unit holds Tb at (0.000, 0.000, 0.000), Tb at (0.048, 0.000, 0.334), Tb at (0.353, 0.000, 0.867), Er at (0.425, 0.000, 0.364), Sc at (0.254, 0.500, 0.574) and Sc at (0.299, 0.500, 0.130).

[2]
First-principles (PBE-GGA) data for Tb2Er3Sc3 after structural relaxation, as listed in the Alexandria database.

As for the crystal system: orthorhombic. The value obtained for the total magnetization is 0.001 μB/f.u. For the total energy, the calculation gives -5.194 eV per atom. Its formation energy from the elements is 0.05 eV per atom. For the energy above the most stable polymorph in this dataset, the calculation gives 0.0215 eV/atom.

It has space group Immm (No. 71), with a = 4.808 Å, b = 4.887 Å, c = 19.411 Å, α = 90.00°, β = 90.00° and γ = 90.00°. The asymmetric unit holds Tb at (0.000, 0.000, 0.249), Er at (0.000, 0.000, 0.000), Er at (0.000, 0.500, 0.122), Sc at (0.000, 0.000, 0.500) and Sc at (0.000, 0.500, 0.377).

[3]
First-principles (PBE-GGA) data for TbEr7Sc4 after structural relaxation, as listed in the Alexandria database.

As for the crystal system: monoclinic. The value obtained for the total magnetization is 0.470 μB/f.u. For the total energy, the calculation gives -4.904 eV per atom. Its formation energy from the elements is 0.25 eV per atom. For the energy above the most stable polymorph in this dataset, the calculation gives 0.2360 eV/atom.

It has space group C2/m (No. 12), with a = 15.425 Å, b = 5.688 Å, c = 9.378 Å, α = 90.00°, β = 121.36° and γ = 90.00°. The asymmetric unit holds Tb at (0.000, 0.000, 0.000), Er at (0.000, 0.500, 0.000), Er at (0.087, 0.000, 0.443), Er at (0.208, 0.000, 0.881), Er at (0.244, 0.000, 0.279), Sc at (0.053, 0.500, 0.703) and Sc at (0.169, 0.500, 0.347).

[4]
First-principles (PBE-GGA) data for Tb2Er8Sc3 after structural relaxation, as listed in the Alexandria database.

As for the crystal system: monoclinic. The value obtained for the total magnetization is 0.000 μB/f.u. For the total energy, the calculation gives -4.805 eV per atom. Its formation energy from the elements is 0.18 eV per atom. For the energy above the most stable polymorph in this dataset, the calculation gives 0.0000 eV/atom.

It has space group C2/m (No. 12), with a = 17.588 Å, b = 7.783 Å, c = 6.051 Å, α = 90.00°, β = 109.88° and γ = 90.00°. The asymmetric unit holds Tb at (0.179, 0.000, 0.182), Er at (0.009, 0.000, 0.275), Er at (0.151, 0.259, 0.714), Er at (0.180, 0.500, 0.248), Sc at (0.000, 0.322, 0.000) and Sc at (0.000, 0.500, 0.500).

[5]
First-principles (PBE-GGA) data for TbErSc2 after structural relaxation, as listed in the Alexandria database.

As for the crystal system: tetragonal. The value obtained for the total magnetization is 0.000 μB/f.u. For the total energy, the calculation gives -5.413 eV per atom. Its formation energy from the elements is 0.05 eV per atom. For the energy above the most stable polymorph in this dataset, the calculation gives 0.0079 eV/atom.

It has space group P4/mmm (No. 123), with a = 3.447 Å, b = 3.447 Å, c = 9.338 Å, α = 90.00°, β = 90.00° and γ = 90.00°. The asymmetric unit holds Tb at (0.000, 0.000, 0.000), Er at (0.000, 0.000, 0.500) and Sc at (0.500, 0.500, 0.251).

[6]
First-principles (PBE-GGA) data for TbEr4Sc8 after structural relaxation, as listed in the Alexandria database.

As for the crystal system: trigonal. The value obtained for the total magnetization is 1.498 μB/f.u. For the total energy, the calculation gives -5.061 eV per atom. Its formation energy from the elements is 0.60 eV per atom.

It has space group R-3m (No. 166, hexagonal axes), with a = 10.4082 Å, b = 10.4082 Å, c = 12.7098 Å, α = 90.00°, β = 90.00° and γ = 120.00°. The asymmetric unit holds Tb at (0.0000, 0.0000, 0.0000), Er at (0.0000, 0.0000, 0.5000), Er at (0.0000, 0.5000, 0.5000), Sc at (0.0000, 0.0000, 0.2601) and Sc at (0.0131, 0.5065, 0.2460).